Record 1
CaCrCo after structural relaxation. Source: Alexandria via LeMat-Bulk, functional GGA-PBE.

Results
Energy relative to the elements   0.7968 eV/atom
Polymorph energy (0 for the lowest one)   97 kJ/mol of formula units

a b c (Å): 6.265 6.265 6.265
angles (deg): 90.00 90.00 90.00
Atoms (fractional coordinates):
Ca 0.000 0.000 0.000
Ca 0.000 0.500 0.500
Ca 0.500 0.000 0.500
Ca 0.500 0.500 0.000
Cr 0.000 0.000 0.500
Cr 0.000 0.500 0.000
Cr 0.500 0.000 0.000
Cr 0.500 0.500 0.500
Co 0.250 0.250 0.250
Co 0.250 0.750 0.750
Co 0.750 0.250 0.750
Co 0.750 0.750 0.250

Record 2
Sr2Co2Ni after structural relaxation. Source: Alexandria via LeMat-Bulk, functional GGA-PBE.

Results
Energy relative to the elements   0.4131 eV/atom

a b c (Å): 6.670 6.670 4.648
angles (deg): 90.00 90.00 90.00
Atoms (fractional coordinates):
Sr 0.186 0.314 0.000
Sr 0.314 0.814 0.000
Sr 0.686 0.186 0.000
Sr 0.814 0.686 0.000
Co 0.119 0.619 0.500
Co 0.381 0.119 0.500
Co 0.619 0.881 0.500
Co 0.881 0.381 0.500
Ni 0.000 0.000 0.500
Ni 0.500 0.500 0.500

Record 3
HPd5Pb2 after structural relaxation. Source: Alexandria via LeMat-Bulk, functional GGA-PBE.

Results
Polymorph energy (0 for the lowest one)   0 kJ/mol of formula units

a b c (Å): 7.164 5.821 12.485
angles (deg): 90.00 90.00 90.00
Atoms (fractional coordinates):
H 0.177 0.250 0.080
H 0.323 0.750 0.580
H 0.677 0.250 0.420
H 0.823 0.750 0.920
Pd 0.000 0.000 0.000
Pd 0.000 0.500 0.000
Pd 0.027 0.250 0.203
Pd 0.158 0.001 0.622
Pd 0.158 0.499 0.622
Pd 0.180 0.750 0.421
Pd 0.320 0.250 0.921
Pd 0.342 0.501 0.122
Pd 0.342 0.999 0.122
Pd 0.473 0.750 0.703
Pd 0.500 0.000 0.500
Pd 0.500 0.500 0.500
Pd 0.527 0.250 0.297
Pd 0.658 0.001 0.878
Pd 0.658 0.499 0.878
Pd 0.680 0.750 0.079
Pd 0.820 0.250 0.579
Pd 0.842 0.501 0.378
Pd 0.842 0.999 0.378
Pd 0.973 0.750 0.797
Pb 0.018 0.750 0.207
Pb 0.180 0.250 0.414
Pb 0.320 0.750 0.914
Pb 0.482 0.250 0.707
Pb 0.518 0.750 0.293
Pb 0.680 0.250 0.086
Pb 0.820 0.750 0.586
Pb 0.982 0.250 0.793

Record 4
BaClF3 after structural relaxation. Source: Alexandria via LeMat-Bulk, functional GGA-PBE.

Results
Polymorph energy (0 for the lowest one)   272 kJ/mol of formula units
Formation energy from raw total energies   -43.7 kcal/mol of atoms

a b c (Å): 5.099 5.099 5.099
angles (deg): 90.00 90.00 90.00
Atoms (fractional coordinates):
Ba 0.000 0.000 0.000
Cl 0.500 0.500 0.500
F 0.000 0.000 0.500
F 0.000 0.500 0.000
F 0.500 0.000 0.000

Record 5
TbEr4Tm after structural relaxation. Source: Alexandria via LeMat-Bulk, functional GGA-PBE.

Results
Energy relative to the elements   0.2699 eV/atom
Polymorph energy (0 for the lowest one)   111 kJ/mol of formula units

a b c (Å): 6.485 6.485 6.485
angles (deg): 60.00 60.00 60.00
Atoms (fractional coordinates):
Tb 0.000 0.000 0.000
Er 0.375 0.375 0.375
Er 0.375 0.375 0.875
Er 0.375 0.875 0.375
Er 0.875 0.375 0.375
Tm 0.750 0.750 0.750

Record 6
KTc2Hg after structural relaxation. Source: Alexandria via LeMat-Bulk, functional GGA-PBE.

Results
Energy relative to the elements   1.3838 eV/atom

a b c (Å): 3.919 3.919 10.491
angles (deg): 90.00 90.00 90.00
Atoms (fractional coordinates):
K 0.000 0.000 0.000
K 0.500 0.500 0.500
Tc 0.000 0.500 0.250
Tc 0.000 0.500 0.750
Tc 0.500 0.000 0.250
Tc 0.500 0.000 0.750
Hg 0.000 0.000 0.500
Hg 0.500 0.500 0.000

Record 7
BaZnSi2 after structural relaxation. Source: Alexandria via LeMat-Bulk, functional GGA-PBE.

Results
Formation energy from raw total energies   -0.9 kcal/mol of atoms

a b c (Å): 4.239 6.726 7.582
angles (deg): 90.00 90.00 90.00
Atoms (fractional coordinates):
Ba 0.000 0.000 0.000
Ba 0.500 0.500 0.500
Zn 0.000 0.000 0.500
Zn 0.500 0.500 0.000
Si 0.000 0.500 0.160
Si 0.000 0.500 0.840
Si 0.500 0.000 0.340
Si 0.500 0.000 0.660

Record 8
HoMgSnBi after structural relaxation. Source: Alexandria via LeMat-Bulk, functional GGA-PBE.

Results
Energy relative to the elements   -0.2721 eV/atom

a b c (Å): 7.564 7.564 7.564
angles (deg): 90.00 90.00 90.00
Atoms (fractional coordinates):
Ho 0.000 0.000 0.000
Ho 0.000 0.500 0.500
Ho 0.500 0.000 0.500
Ho 0.500 0.500 0.000
Mg 0.000 0.000 0.500
Mg 0.000 0.500 0.000
Mg 0.500 0.000 0.000
Mg 0.500 0.500 0.500
Sn 0.250 0.250 0.750
Sn 0.250 0.750 0.250
Sn 0.750 0.250 0.250
Sn 0.750 0.750 0.750
Bi 0.250 0.250 0.250
Bi 0.250 0.750 0.750
Bi 0.750 0.250 0.750
Bi 0.750 0.750 0.250

Record 9
ZnSb3As after structural relaxation. Source: Alexandria via LeMat-Bulk, functional GGA-PBE.

Results
Polymorph energy (0 for the lowest one)   0 kJ/mol of formula units
Formation energy from raw total energies   16.2 kcal/mol of atoms

a b c (Å): 5.176 5.176 5.176
angles (deg): 90.00 90.00 90.00
Atoms (fractional coordinates):
Zn 0.000 0.000 0.000
Sb 0.000 0.000 0.500
Sb 0.000 0.500 0.000
Sb 0.500 0.000 0.000
As 0.500 0.500 0.500

Record 10
PuSiNiC after structural relaxation. Source: Alexandria via LeMat-Bulk, functional GGA-PBE.

Results
Formation energy from raw total energies   -9.3 kcal/mol of atoms

a b c (Å): 3.651 3.651 8.490
angles (deg): 90.00 90.00 90.00
Atoms (fractional coordinates):
Pu 0.250 0.250 0.152
Pu 0.750 0.750 0.848
Si 0.250 0.250 0.661
Si 0.750 0.750 0.339
Ni 0.250 0.750 0.500
Ni 0.750 0.250 0.500
C 0.250 0.250 0.878
C 0.750 0.750 0.122

Record 11
RbZn2OsPt after structural relaxation. Source: Alexandria via LeMat-Bulk, functional GGA-PBE.

Results
Energy relative to the elements   2.6353 eV/atom

a b c (Å): 5.119 5.119 4.957
angles (deg): 90.00 90.00 90.00
Atoms (fractional coordinates):
Rb 0.000 0.000 0.000
Zn 0.000 0.500 0.000
Zn 0.500 0.000 0.000
Os 0.000 0.000 0.500
Pt 0.500 0.500 0.500

Record 12
Ac3ZnGe6Au2 after structural relaxation. Source: Alexandria via LeMat-Bulk, functional GGA-PBE.

Results
Energy relative to the elements   -0.3811 eV/atom

a b c (Å): 6.242 6.242 8.880
angles (deg): 90.00 90.00 120.00
Atoms (fractional coordinates):
Ac 0.000 0.000 0.000
Ac 0.333 0.667 0.641
Ac 0.667 0.333 0.359
Zn 0.000 0.000 0.500
Ge 0.195 0.390 0.290
Ge 0.195 0.805 0.290
Ge 0.390 0.195 0.710
Ge 0.610 0.805 0.290
Ge 0.805 0.195 0.710
Ge 0.805 0.610 0.710
Au 0.333 0.667 0.010
Au 0.667 0.333 0.990

Record 13
Hf2OsAu after structural relaxation. Source: Alexandria via LeMat-Bulk, functional GGA-PBE.

Results
Energy relative to the elements   0.0326 eV/atom

a b c (Å): 7.416 7.416 5.784
angles (deg): 90.00 90.00 90.00
Atoms (fractional coordinates):
Hf 0.227 0.750 0.125
Hf 0.250 0.227 0.875
Hf 0.250 0.273 0.375
Hf 0.273 0.750 0.625
Hf 0.727 0.250 0.625
Hf 0.750 0.727 0.375
Hf 0.750 0.773 0.875
Hf 0.773 0.250 0.125
Os 0.000 0.000 0.000
Os 0.000 0.500 0.250
Os 0.500 0.000 0.750
Os 0.500 0.500 0.500
Au 0.000 0.000 0.500
Au 0.000 0.500 0.750
Au 0.500 0.000 0.250
Au 0.500 0.500 0.000

Record 14
Cd2SiNi after structural relaxation. Source: Alexandria via LeMat-Bulk, functional GGA-PBE.

Results
Formation energy from raw total energies   2.6 kcal/mol of atoms

a b c (Å): 9.890 9.890 4.281
angles (deg): 90.00 90.00 90.00
Atoms (fractional coordinates):
Cd 0.001 0.250 0.125
Cd 0.250 0.501 0.375
Cd 0.250 0.999 0.875
Cd 0.499 0.250 0.625
Cd 0.501 0.750 0.625
Cd 0.750 0.001 0.875
Cd 0.750 0.499 0.375
Cd 0.999 0.750 0.125
Si 0.000 0.000 0.500
Si 0.000 0.500 0.750
Si 0.500 0.000 0.250
Si 0.500 0.500 0.000
Ni 0.000 0.000 0.000
Ni 0.000 0.500 0.250
Ni 0.500 0.000 0.750
Ni 0.500 0.500 0.500